# 1
DFT (PBE) results for a relaxed Th4IrPt3 crystal.

The calculation puts the spin magnetization at 0.000 μB/atom. For the calculated total energy, the calculation gives -65.90 eV/f.u. Its space group is No. 221. As for the density: 13.71 g cm⁻³.

a = 5.912 Å, b = 5.912 Å, c = 5.912 Å
α = 90.00°, β = 90.00°, γ = 90.00°
Positions (direct):
Th  0.000  0.000  0.000
Th  0.000  0.500  0.500
Th  0.500  0.000  0.500
Th  0.500  0.500  0.000
Ir  0.500  0.500  0.500
Pt  0.000  0.000  0.500
Pt  0.000  0.500  0.000
Pt  0.500  0.000  0.000

# 2
DFT (PBE) results for a relaxed FeHgPd6 crystal.

The calculation puts the spin magnetization at 0.558 μB/atom. For the calculated total energy, the calculation gives -40.75 eV/f.u. Its space group is No. 123. As for the density: 11.83 g cm⁻³.

a = 3.981 Å, b = 3.981 Å, c = 7.924 Å
α = 90.00°, β = 90.00°, γ = 90.00°
Positions (direct):
Fe  0.000  0.000  0.000
Hg  0.000  0.000  0.500
Pd  0.000  0.500  0.234
Pd  0.000  0.500  0.766
Pd  0.500  0.000  0.234
Pd  0.500  0.000  0.766
Pd  0.500  0.500  0.000
Pd  0.500  0.500  0.500

# 3
DFT (PBE) results for a relaxed ZnFe3Si crystal.

The calculation puts the spin magnetization at 1.026 μB/atom. For the calculated total energy, the calculation gives -29.00 eV/f.u. The calculation puts the formation energy (no corrections) at 617 meV per atom. Its space group is No. 221. As for the density: 5.82 g cm⁻³.

a = 4.206 Å, b = 4.206 Å, c = 4.206 Å
α = 90.00°, β = 90.00°, γ = 90.00°
Positions (direct):
Zn  0.000  0.000  0.000
Fe  0.000  0.500  0.500
Fe  0.500  0.000  0.500
Fe  0.500  0.500  0.000
Si  0.500  0.500  0.500

# 4
DFT (PBE) results for a relaxed CuTc2Cl crystal.

The calculation puts the spin magnetization at 0.000 μB/atom. For the calculated total energy, the calculation gives -23.44 eV/f.u. The calculation puts the formation energy (no corrections) at 809 meV per atom. Its space group is No. 47. As for the density: 8.24 g cm⁻³.

a = 2.790 Å, b = 4.581 Å, c = 4.654 Å
α = 90.00°, β = 90.00°, γ = 90.00°
Positions (direct):
Cu  0.000  0.000  0.000
Tc  0.000  0.500  0.500
Tc  0.500  0.500  0.000
Cl  0.500  0.000  0.500

# 5
DFT (PBE) results for a relaxed Rb2Hg2P crystal.

The calculation puts the spin magnetization at 0.000 μB/atom. For the calculated total energy, the calculation gives -7.87 eV/f.u. Its space group is No. 139. As for the density: 5.27 g cm⁻³.

a = 10.926 Å, b = 10.926 Å, c = 10.926 Å
α = 157.54°, β = 157.54°, γ = 31.97°
Positions (direct):
Rb  0.089  0.089  0.000
Rb  0.911  0.911  0.000
Hg  0.250  0.750  0.500
Hg  0.750  0.250  0.500
P  0.500  0.500  0.000

# 6
DFT (PBE) results for a relaxed CuSi2Rh crystal.

The calculation puts the spin magnetization at 0.000 μB/atom. For the calculated total energy, the calculation gives -23.37 eV/f.u. The calculation puts the formation energy (no corrections) at -270 meV per atom. Its space group is No. 12. As for the density: 7.02 g cm⁻³.

a = 4.232 Å, b = 4.232 Å, c = 4.619 Å
α = 98.50°, β = 98.50°, γ = 40.18°
Positions (direct):
Cu  0.000  0.000  0.000
Si  0.244  0.244  0.750
Si  0.756  0.756  0.250
Rh  0.500  0.500  0.500